Entry 1:
DFT (PBE-GGA) results for a relaxed structure of Sc2TcIr.

Properties
Formation enthalpy at 0 K, eV per atom: -0.55
ρ, g cm⁻³: 9.345
M_tot, μB/atom: 0.001

Unit cell a=3.180 b=4.608 c=4.608 alpha=90.00 beta=90.00 gamma=90.00
Positions (direct):
Sc 0.000 0.500 0.000
Sc 0.000 0.000 0.500
Ir 0.500 0.500 0.500
Tc 0.500 0.000 0.000


Entry 2:
DFT (PBE-GGA) results for a relaxed structure of ZrPaNbAl.

Properties
Formation enthalpy at 0 K, eV per atom: 0.01
ρ, g cm⁻³: 8.597
M_tot, μB/atom: 0.000

Unit cell a=4.943 b=4.943 c=4.943 alpha=60.00 beta=60.00 gamma=60.00
Positions (direct):
Pa 0.250 0.250 0.250
Nb 0.000 0.000 0.000
Zr 0.750 0.750 0.750
Al 0.500 0.500 0.500


Q: What is the formation enthalpy at 0 K in the second record?
A: 0.01 eV per atom


Q: The highest formation enthalpy at 0 K belongs to which entry?
A: ZrPaNbAl